# 1
First-principles (GGA-PBE) data for a relaxed structure of La2CdHg, as listed in Alexandria.

It has space group R-3m (No. 166, hexagonal axes), with a = 3.8192 Å, b = 3.8192 Å, c = 30.4194 Å, α = 90.00°, β = 90.00° and γ = 120.00°. Symmetry generates all atoms from La at (0.0000, 0.0000, 0.2487), Cd at (0.0000, 0.0000, 0.0000) and Hg at (0.0000, 0.0000, 0.5000).

For the density of states at the Fermi level, the calculation gives 3.238 states/eV/f.u. As for the crystal system: trigonal. The calculation puts the calculated formation energy at -0.24 eV/atom. The calculation puts the energy above the lowest structure with this stoichiometry at 0.174 eV per atom. The density comes out at 7.7 g/cm3.



# 2
First-principles (GGA-PBE) data for a relaxed structure of K2AcDyTe4, as listed in Alexandria.

It has space group P2/m (No. 10), with a = 8.1081 Å, b = 4.6709 Å, c = 8.6959 Å, α = 90.00°, β = 108.00° and γ = 90.00°. Symmetry generates all atoms from K at (0.0000, 0.0000, 0.0000), K at (0.5000, 0.5000, 0.0000), Ac at (0.0000, 0.5000, 0.5000), Dy at (0.5000, 0.0000, 0.5000), Te at (0.2570, 0.0000, 0.7192) and Te at (0.2790, 0.5000, 0.2896).

For the density of states at the Fermi level, the calculation gives 0.000 states/eV/f.u. As for the crystal system: monoclinic. The uncorrected formation energy is -1.431 eV per atom. The density comes out at 5.2 g/cm3.



# 3
First-principles (GGA-PBE) data for a relaxed structure of LaAl3Rh3, as listed in Alexandria.

It has space group Pm-3n (No. 223), with a = 6.6811 Å, b = 6.6811 Å, c = 6.6811 Å, α = 90.00°, β = 90.00° and γ = 90.00°. Symmetry generates all atoms from La at (0.0000, 0.0000, 0.0000), Al at (0.0000, 0.2500, 0.5000) and Rh at (0.0000, 0.5000, 0.2500).

For the density of states at the Fermi level, the calculation gives 4.569 states/eV/f.u. As for the crystal system: cubic. The calculation puts the calculated formation energy at -0.42 eV/atom. The density comes out at 5.9 g/cm3.